Density functional theory data (PBE-GGA) for a relaxed structure of Sc8S3O.

a = 7.0142 Å, b = 7.0142 Å, c = 16.5648 Å
α = 90.00°, β = 90.00°, γ = 120.00°
With the nearest neighbours (Å) after each atom.
Space group R-3m (No. 166, hexagonal axes)
Asymmetric unit:
Sc (0.0000, 0.0000, 0.2457) x6  3 S 2.49
Sc (0.0307, 0.5154, 0.7504) x18  1 O 2.30, 2 S 2.54
S (0.0000, 0.5000, 0.0000) x9  6 Sc 2.49-2.54
O (0.0000, 0.0000, 0.0000) x3  6 Sc 2.30

Summary:
* crystal system: trigonal
* formation energy (no corrections): -1.37 eV per atom
* ρ: 3.33 g cm⁻³

---

Density functional theory data (PBE-GGA) for a relaxed structure of Sm6HN5.

a = 6.2265 Å, b = 10.7682 Å, c = 6.2214 Å
α = 90.00°, β = 109.68°, γ = 90.00°
With the nearest neighbours (Å) after each atom.
Space group C2/m (No. 12)
Asymmetric unit:
Sm (0.2362, 0.0000, 0.2640) x4  5 N 2.40-2.56, 1 H 2.69
Sm (0.2396, 0.1754, 0.7451) x8  5 N 2.41-2.57, 1 H 2.64
H (0.0000, 0.5000, 0.0000) x2  6 Sm 2.64-2.69
N (0.0000, 0.0000, 0.5000) x2  6 Sm 2.40-2.57
N (0.0000, 0.1666, 0.0000) x4  6 Sm 2.51-2.54
N (0.0000, 0.3306, 0.5000) x4  6 Sm 2.41-2.57

Summary:
* crystal system: monoclinic
* final energy: -0.548 Ry per atom
* ρ: 8.23 g cm⁻³

---

Density functional theory data (PBE-GGA) for a relaxed structure of CaPaP2N6.

a = 10.0250 Å, b = 9.8293 Å, c = 5.2262 Å
α = 90.00°, β = 101.36°, γ = 90.00°
With the nearest neighbours (Å) after each atom.
Space group C2/c (No. 15)
Asymmetric unit:
Ca (0.0000, 0.0894, 0.2500) x4  6 N 2.37-2.47
Pa (0.0000, 0.3065, 0.7500) x4  4 N 2.14-2.32
P (0.2124, 0.4140, 0.2649) x8  4 N 1.61-1.71
N (0.1193, 0.2881, 0.1354) x8  1 P 1.62
N (0.1270, 0.1183, 0.6797) x8  1 P 1.61
N (0.1632, 0.4575, 0.5474) x8  2 P 1.70-1.71

Summary:
* crystal system: monoclinic
* formation energy (no corrections): -0.80 eV per atom
* ρ: 5.49 g cm⁻³

---

Density functional theory data (PBE-GGA) for a relaxed structure of BeBrCl.

a = 6.4996 Å, b = 6.4996 Å, c = 6.4996 Å
α = 90.00°, β = 90.00°, γ = 90.00°
With the nearest neighbours (Å) after each atom.
Space group F-43m (No. 216)
Asymmetric unit:
Be (0.0000, 0.0000, 0.0000) x4  4 Br 2.81
Br (0.2500, 0.2500, 0.7500) x4  4 Cl 2.81, 4 Be 2.81
Cl (0.0000, 0.0000, 0.5000) x4  4 Br 2.81

Summary:
* crystal system: cubic
* formation energy (no corrections): 0.61 eV per atom
* ρ: 3.01 g cm⁻³
* polymorph energy (0 for the lowest one): 1.764 eV/atom